# 1
This record from Alexandria via LeMat-Bulk describes a relaxed structure of BC5. The functional is PBE.

Values from the calculation:
The density of states at the Fermi level is 0.090 states/eV/atom. The calculation puts the distance to the lowest polymorph of the same formula at 0.010 eV/atom. Its formation energy is 0.22 eV per atom.

a b c (Å): 2.5010 2.5331 11.4614
angles (deg): 90.00 90.00 90.00
Space group Pmma (No. 51)
Asymmetric unit:
B1 0.2500 0.0000 0.0600 x2
C1 0.2500 0.0000 0.3827 x2
C2 0.2500 0.0000 0.6948 x2
C3 0.2500 0.5000 0.1490 x2
C4 0.2500 0.5000 0.4611 x2
C5 0.2500 0.5000 0.7746 x2

***

# 2
This record from Alexandria via LeMat-Bulk describes a relaxed structure of Sm2GdAg. The functional is PBE.

Values from the calculation:
The density of states at the Fermi level is 1.503 states/eV/atom. The calculation puts the distance to the lowest polymorph of the same formula at 0.000 eV/atom. Its formation energy is -0.11 eV per atom.

a b c (Å): 3.6542 3.6542 8.8352
angles (deg): 90.00 90.00 90.00
Space group P4/mmm (No. 123)
Asymmetric unit:
Sm1 0.0000 0.0000 0.2152 x2
Gd1 0.5000 0.5000 0.5000 x1
Ag1 0.5000 0.5000 0.0000 x1

***

# 3
This record from Alexandria via LeMat-Bulk describes a relaxed structure of Pu2Ga6Pt. The functional is PBE.

Values from the calculation:
The density of states at the Fermi level is 1.982 states/eV/atom. Its formation energy is -0.49 eV per atom.

a b c (Å): 5.9956 5.9956 5.5057
angles (deg): 90.00 90.00 120.00
Space group P-3m1 (No. 164)
Asymmetric unit:
Pu1 0.3333 0.6667 0.3126 x2
Ga1 0.1783 0.3567 0.8159 x6
Pt1 0.0000 0.0000 0.5000 x1

***

# 4
This record from Alexandria via LeMat-Bulk describes a relaxed structure of LiZrRe2. The functional is PBE.

Values from the calculation:
The density of states at the Fermi level is 0.654 states/eV/atom. The calculation puts the distance to the lowest polymorph of the same formula at 0.202 eV/atom. Its formation energy is 0.28 eV per atom.

a b c (Å): 3.3099 3.3099 5.8286
angles (deg): 90.00 90.00 90.00
Space group P4/mmm (No. 123)
Asymmetric unit:
Li1 0.0000 0.0000 0.0000 x1
Zr1 0.0000 0.0000 0.5000 x1
Re1 0.5000 0.5000 0.2057 x2

***

# 5
This record from Alexandria via LeMat-Bulk describes a relaxed structure of SmHgSbAu. The functional is PBE.

Values from the calculation:
The density of states at the Fermi level is 0.594 states/eV/atom. As for the formation energy (no corrections): -0.45 eV per atom.

a b c (Å): 7.3217 7.3217 7.3217
angles (deg): 90.00 90.00 90.00
Space group F-43m (No. 216)
Asymmetric unit:
Sm1 0.0000 0.0000 0.0000 x4
Hg1 0.2500 0.2500 0.7500 x4
Sb1 0.0000 0.0000 0.5000 x4
Au1 0.2500 0.2500 0.2500 x4

***

# 6
This record from Alexandria via LeMat-Bulk describes a relaxed structure of LaTb12Pr7. The functional is PBE.

Values from the calculation:
The density of states at the Fermi level is 1.858 states/eV/atom. The calculation puts the distance to the lowest polymorph of the same formula at 0.000 eV/atom. Its formation energy is 0.22 eV per atom.

a b c (Å): 12.1621 12.1621 16.2795
angles (deg): 90.00 90.00 120.00
Space group R-3 (No. 148, hexagonal axes)
Asymmetric unit:
La1 0.0000 0.0000 0.0000 x3
Tb1 0.0179 0.5736 0.7214 x18
Tb2 0.0495 0.4616 0.0829 x18
Pr1 0.0000 0.0000 0.5000 x3
Pr2 0.0521 0.8636 0.7909 x18

***

| no. | spin magnetization (μB/f.u.) |
| --- | --- |
| 1 | 0.0 |
| 2 | 7.7 |
| 3 | 11.2 |
| 4 | 0.0 |
| 5 | 0.0 |
| 6 | 0.0 |